(1)
First-principles (GGA-PBE) data for a relaxed structure of TeRuCl2, as listed in the Alexandria database.

Cell and atoms, written as POSCAR:
```
TeRuCl2
1.0
5.3346 0.0001 0.0000
-2.1742 4.8714 0.0000
1.5793 2.4343 3.1031
Cl Ru Te
2 1 1
Cartesian
1.5802 2.4358 0.0000
0.0000 0.0000 0.0000
3.4569 1.2172 1.5516
-0.2975 3.6529 1.5516
```

Properties
- relative energy among the computed polymorphs (eV/atom) = 0.743
- raw total energy (eV for the cell shown) = -14.4
- crystal system = orthorhombic


(2)
First-principles (GGA-PBE) data for a relaxed structure of TeRuCl2, as listed in the Alexandria database.

Cell and atoms, written as POSCAR:
```
TeRuCl2
1.0
3.1029 0.0000 0.0000
0.0000 3.1030 0.0000
0.0000 0.0000 11.2384
Te Cl Ru
1 2 1
Cartesian
1.5514 1.5515 8.4288
0.0000 0.0000 1.2150
0.0000 0.0000 4.4042
1.5514 1.5515 2.8096
```

Properties
- relative energy among the computed polymorphs (eV/atom) = 0.566
- raw total energy (eV for the cell shown) = -15.1
- crystal system = tetragonal


Number 1: ΔE_f (raw) 0.424 eV/atom. Number 2: ΔE_f (raw) 0.247 eV/atom.